This record from Alexandria describes a geometry-optimized Tb3Pm2YS6 structure. The functional is PBE.

Cell lengths 17.254, 3.948, 7.963 Å; angles 90.00, 103.49, 90.00 degrees
Space group C2/m (No. 12)
Asymmetric unit:
1 Tb 0.000 0.000 0.000 (multiplicity 2)
2 Tb 0.168 0.500 0.333 (multiplicity 4)
3 Pm 0.167 0.500 0.835 (multiplicity 4)
4 Y 0.000 0.000 0.500 (multiplicity 2)
5 S 0.003 0.500 0.252 (multiplicity 4)
6 S 0.164 0.000 0.089 (multiplicity 4)
7 S 0.166 0.000 0.576 (multiplicity 4)

* raw formation energy: -2016.0 meV per atom
* total energy: -0.48272 Ry per atom